1.
Nd4CoTe | GGA-PBE | relaxed

distance to the lowest polymorph of the same formula = 0.000 eV/atom
E_tot = -5.320 eV per atom

a b c (Å): 9.3009 14.1868 6.5507
angles (deg): 90.00 122.24 90.00
Space group C2/c (No. 15)
Unique sites:
Nd: 0.1175 0.1884 0.0960 (multiplicity 8)
Nd: 0.2452 0.4440 0.3083 (multiplicity 8)
Co: 0.0000 0.0077 0.2500 (multiplicity 4)
Te: 0.0000 0.3734 0.7500 (multiplicity 4)

=====

2.
ZnSe3 | GGA-PBE | relaxed

E_tot = -2.998 eV per atom

a b c (Å): 5.5178 5.5178 5.5178
angles (deg): 90.00 90.00 90.00
Space group Im-3m (No. 229)
Unique sites:
Zn: 0.0000 0.0000 0.0000 (multiplicity 2)
Se: 0.0000 0.0000 0.5000 (multiplicity 6)

=====

3.
Y2TiSe4 | GGA-PBE | relaxed

E_tot = -6.533 eV per atom

a b c (Å): 14.2923 3.9805 7.1803
angles (deg): 90.00 119.04 90.00
Space group C2/m (No. 12)
Unique sites:
Y: 0.2317 0.0000 0.2191 (multiplicity 4)
Ti: 0.0000 0.5000 0.5000 (multiplicity 2)
Se: 0.1113 0.5000 0.9209 (multiplicity 4)
Se: 0.1248 0.0000 0.4779 (multiplicity 4)

=====

Formation energy from raw total energies (eV per atom)
-0.434 -0.067 -1.567